# NaNdPb2S4 (PBE, optimized geometry)
data_NaNdPb2S4
_chemical_formula_sum 'Na1 Nd1 Pb2 S4'
_cell_length_a 7.144
_cell_length_b 4.175
_cell_length_c 7.277
_cell_angle_alpha 90.00
_cell_angle_beta 108.65
_cell_angle_gamma 90.00
_space_group_name_H-M_alt 'P 1 2/m 1'
_space_group_IT_number 10
_space_group_name_Hall '-P 2y'
loop_
_atom_site_label
_atom_site_type_symbol
_atom_site_fract_x
_atom_site_fract_y
_atom_site_fract_z
Na1 Na 0.000 0.000 0.000
Nd1 Nd 0.500 0.500 0.000
Pb1 Pb 0.000 0.500 0.500
Pb2 Pb 0.500 0.000 0.500
S1 S 0.256 0.500 0.240
S2 S 0.261 0.000 0.767
# Raw formation energy in eV per atom: -1.131
# Calculated density in g/cm3: 5.73

# Ac8Te4P3Se (PBE, optimized geometry)
data_Ac8Te4P3Se
_chemical_formula_sum 'Ac24 Te12 P9 Se3'
_cell_length_a 9.0545
_cell_length_b 9.0545
_cell_length_c 23.1589
_cell_angle_alpha 90.00
_cell_angle_beta 90.00
_cell_angle_gamma 120.00
_space_group_name_H-M_alt 'R -3 m'
_space_group_IT_number 166
_space_group_name_Hall '-R 3 2"'
loop_
_atom_site_label
_atom_site_type_symbol
_atom_site_fract_x
_atom_site_fract_y
_atom_site_fract_z
Ac1 Ac 0.0000 0.0000 0.2384
Ac2 Ac 0.0085 0.5043 0.7605
Te1 Te 0.0000 0.0000 0.0000
Te2 Te 0.0000 0.5000 0.0000
P1 P 0.0000 0.5000 0.5000
Se1 Se 0.0000 0.0000 0.5000
# Density of states at the Fermi level in states/eV per cell: 26.13
# Raw formation energy in eV per atom: -1.603
# Calculated density in g/cm3: 7.57

# Li2LaTc (PBE, optimized geometry)
data_Li2LaTc
_chemical_formula_sum 'Li8 La4 Tc4'
_cell_length_a 3.922
_cell_length_b 3.922
_cell_length_c 21.674
_cell_angle_alpha 90.00
_cell_angle_beta 90.00
_cell_angle_gamma 90.00
_space_group_name_H-M_alt 'I -4 2 d'
_space_group_IT_number 122
_space_group_name_Hall 'I -4 2bw'
loop_
_atom_site_label
_atom_site_type_symbol
_atom_site_fract_x
_atom_site_fract_y
_atom_site_fract_z
Li1 Li 0.197 0.750 0.125
La1 La 0.000 0.000 0.500
Tc1 Tc 0.000 0.000 0.000
# Density of states at the Fermi level in states/eV per cell: 18.75
# Excess energy over the best structure of this formula in the dataset in meV per atom: 202.5
# Calculated density in g/cm3: 5.00
# E_form in meV per atom: 436

# Ac4PdAuCl2 (PBE, optimized geometry)
data_Ac4PdAuCl2
_chemical_formula_sum 'Ac4 Pd1 Au1 Cl2'
_cell_length_a 7.765
_cell_length_b 4.534
_cell_length_c 7.875
_cell_angle_alpha 90.00
_cell_angle_beta 109.73
_cell_angle_gamma 90.00
_space_group_name_H-M_alt 'P 1 2/m 1'
_space_group_IT_number 10
_space_group_name_Hall '-P 2y'
loop_
_atom_site_label
_atom_site_type_symbol
_atom_site_fract_x
_atom_site_fract_y
_atom_site_fract_z
Ac1 Ac 0.230 0.000 0.238
Ac2 Ac 0.234 0.500 0.752
Pd1 Pd 0.000 0.500 0.000
Au1 Au 0.000 0.000 0.500
Cl1 Cl 0.500 0.000 0.000
Cl2 Cl 0.500 0.500 0.500
# Density of states at the Fermi level in states/eV per cell: 8.62
# Raw formation energy in eV per atom: -1.155
# Calculated density in g/cm3: 8.16

# InGa3Ge (PBE, optimized geometry)
data_InGa3Ge
_chemical_formula_sum 'In1 Ga3 Ge1'
_cell_length_a 5.052
_cell_length_b 5.052
_cell_length_c 5.052
_cell_angle_alpha 90.00
_cell_angle_beta 90.00
_cell_angle_gamma 90.00
_space_group_name_H-M_alt 'P m -3 m'
_space_group_IT_number 221
_space_group_name_Hall '-P 4 2 3'
loop_
_atom_site_label
_atom_site_type_symbol
_atom_site_fract_x
_atom_site_fract_y
_atom_site_fract_z
In1 In 0.000 0.000 0.000
Ga1 Ga 0.000 0.500 0.500
Ge1 Ge 0.500 0.500 0.500
# Density of states at the Fermi level in states/eV per cell: 2.28
# Excess energy over the best structure of this formula in the dataset in meV per atom: 284.6
# Calculated density in g/cm3: 5.11
# E_form in meV per atom: 349

# CsInBi (PBE, optimized geometry)
data_CsInBi
_chemical_formula_sum 'Cs2 In2 Bi2'
_cell_length_a 3.998
_cell_length_b 3.998
_cell_length_c 14.920
_cell_angle_alpha 90.00
_cell_angle_beta 90.00
_cell_angle_gamma 90.00
_space_group_name_H-M_alt 'I 4 m m'
_space_group_IT_number 107
_space_group_name_Hall 'I 4 -2'
loop_
_atom_site_label
_atom_site_type_symbol
_atom_site_fract_x
_atom_site_fract_y
_atom_site_fract_z
Cs1 Cs 0.000 0.000 0.000
In1 In 0.000 0.000 0.307
Bi1 Bi 0.000 0.000 0.695
# Density of states at the Fermi level in states/eV per cell: 2.80
# Calculated density in g/cm3: 6.36
# E_form in meV per atom: -173

# Ti4Al3Mo (PBE, optimized geometry)
data_Ti4Al3Mo
_chemical_formula_sum 'Ti8 Al6 Mo2'
_cell_length_a 22.944
_cell_length_b 2.821
_cell_length_c 4.264
_cell_angle_alpha 90.00
_cell_angle_beta 91.80
_cell_angle_gamma 90.00
_space_group_name_H-M_alt 'C 1 2/m 1'
_space_group_IT_number 12
_space_group_name_Hall '-C 2y'
loop_
_atom_site_label
_atom_site_type_symbol
_atom_site_fract_x
_atom_site_fract_y
_atom_site_fract_z
Ti1 Ti 0.098 0.000 0.225
Ti2 Ti 0.217 0.000 0.248
Al1 Al 0.000 0.500 0.000
Al2 Al 0.158 0.500 0.736
Mo1 Mo 0.000 0.000 0.500
# Density of states at the Fermi level in states/eV per cell: 17.58
# Excess energy over the best structure of this formula in the dataset in meV per atom: 347.8
# Calculated density in g/cm3: 4.43
# E_form in meV per atom: 4

# La2CeY (PBE, optimized geometry)
data_La2CeY
_chemical_formula_sum 'La2 Ce1 Y1'
_cell_length_a 3.591
_cell_length_b 3.591
_cell_length_c 10.260
_cell_angle_alpha 90.00
_cell_angle_beta 90.00
_cell_angle_gamma 90.00
_space_group_name_H-M_alt 'P 4/m m m'
_space_group_IT_number 123
_space_group_name_Hall '-P 4 2'
loop_
_atom_site_label
_atom_site_type_symbol
_atom_site_fract_x
_atom_site_fract_y
_atom_site_fract_z
La1 La 0.000 0.000 0.236
Ce1 Ce 0.500 0.500 0.000
Y1 Y 0.500 0.500 0.500
# Density of states at the Fermi level in states/eV per cell: 8.53
# Excess energy over the best structure of this formula in the dataset in meV per atom: 4.9
# Calculated density in g/cm3: 6.36
# E_form in meV per atom: 59

# InRe3Ni (PBE, optimized geometry)
data_InRe3Ni
_chemical_formula_sum 'In1 Re3 Ni1'
_cell_length_a 4.477
_cell_length_b 4.477
_cell_length_c 4.477
_cell_angle_alpha 90.00
_cell_angle_beta 90.00
_cell_angle_gamma 90.00
_space_group_name_H-M_alt 'P m -3 m'
_space_group_IT_number 221
_space_group_name_Hall '-P 4 2 3'
loop_
_atom_site_label
_atom_site_type_symbol
_atom_site_fract_x
_atom_site_fract_y
_atom_site_fract_z
In1 In 0.000 0.000 0.000
Re1 Re 0.000 0.500 0.500
Ni1 Ni 0.500 0.500 0.500
# Density of states at the Fermi level in states/eV per cell: 11.23
# Excess energy over the best structure of this formula in the dataset in meV per atom: 0.0
# Calculated density in g/cm3: 13.55
# E_form in meV per atom: 1654

# Li5SbS (PBE, optimized geometry)
data_Li5SbS
_chemical_formula_sum 'Li20 Sb4 S4'
_cell_length_a 7.915
_cell_length_b 8.005
_cell_length_c 8.546
_cell_angle_alpha 90.00
_cell_angle_beta 91.57
_cell_angle_gamma 90.00
_space_group_name_H-M_alt 'P 1 21 1'
_space_group_IT_number 4
_space_group_name_Hall 'P 2yb'
loop_
_atom_site_label
_atom_site_type_symbol
_atom_site_fract_x
_atom_site_fract_y
_atom_site_fract_z
Li1 Li 0.005 0.000 0.475
Li2 Li 0.006 0.000 0.038
Li3 Li 0.155 0.322 0.232
Li4 Li 0.155 0.679 0.232
Li5 Li 0.269 0.674 0.786
Li6 Li 0.270 0.326 0.786
Li7 Li 0.340 0.158 0.480
Li8 Li 0.340 0.842 0.480
Li9 Li 0.386 0.001 0.055
Li10 Li 0.482 0.500 0.237
Sb1 Sb 0.174 0.000 0.763
Sb2 Sb 0.332 0.500 0.508
S1 S 0.187 0.000 0.263
S2 S 0.299 0.500 0.014
# Excess energy over the best structure of this formula in the dataset in meV per atom: 36.2
# Raw formation energy in eV per atom: -0.847
# Calculated density in g/cm3: 2.31

# BaCd3In2 (PBE, optimized geometry)
data_BaCd3In2
_chemical_formula_sum 'Ba4 Cd12 In8'
_cell_length_a 18.370
_cell_length_b 4.912
_cell_length_c 8.552
_cell_angle_alpha 90.00
_cell_angle_beta 115.78
_cell_angle_gamma 90.00
_space_group_name_H-M_alt 'C 1 2/m 1'
_space_group_IT_number 12
_space_group_name_Hall '-C 2y'
loop_
_atom_site_label
_atom_site_type_symbol
_atom_site_fract_x
_atom_site_fract_y
_atom_site_fract_z
Ba1 Ba 0.145 0.000 0.074
Cd1 Cd 0.037 0.000 0.377
Cd2 Cd 0.103 0.500 0.690
Cd3 Cd 0.190 0.500 0.457
In1 In 0.022 0.500 0.184
In2 In 0.200 0.000 0.710
# Density of states at the Fermi level in states/eV per cell: 11.06
# Excess energy over the best structure of this formula in the dataset in meV per atom: 0.0
# Calculated density in g/cm3: 6.73
# E_form in meV per atom: -248

# HfTaS3 (PBE, optimized geometry)
data_HfTaS3
_chemical_formula_sum 'Hf1 Ta1 S3'
_cell_length_a 4.716
_cell_length_b 4.716
_cell_length_c 4.716
_cell_angle_alpha 90.00
_cell_angle_beta 90.00
_cell_angle_gamma 90.00
_space_group_name_H-M_alt 'P m -3 m'
_space_group_IT_number 221
_space_group_name_Hall '-P 4 2 3'
loop_
_atom_site_label
_atom_site_type_symbol
_atom_site_fract_x
_atom_site_fract_y
_atom_site_fract_z
Hf1 Hf 0.000 0.000 0.000
Ta1 Ta 0.500 0.500 0.500
S1 S 0.000 0.500 0.500
# Density of states at the Fermi level in states/eV per cell: 4.62
# Excess energy over the best structure of this formula in the dataset in meV per atom: 1064.8
# Raw formation energy in eV per atom: -0.100
# Calculated density in g/cm3: 7.21

Look up the calculated density of the twelfth one. 7.21 g/cm3